1.
Computed, not measured: crystalline DyZnAu at its relaxed geometry at the PBE level of DFT.

Summary:
E_form   -370 meV/atom

Cell: 4.563 4.563 4.563 Å, 60.00 60.00 60.00°
Fractional coordinates of all 3 atoms:
1 Au 0.250 0.250 0.250
2 Dy 0.750 0.750 0.750
3 Zn 0.000 0.000 0.000

---

2.
Computed, not measured: crystalline TaBi2 at its relaxed geometry at the PBE level of DFT.

Summary:
Calculated total energy   -18.87 eV per cell

Cell: 3.353 3.353 7.384 Å, 103.12 103.12 90.00°
Fractional coordinates of all 3 atoms:
1 Bi 0.639 0.639 0.278
2 Bi 0.361 0.361 0.722
3 Ta 0.000 0.000 0.000

---

3.
Computed, not measured: crystalline Nd2OF2 at its relaxed geometry at the PBE level of DFT.

Summary:
Calculated total energy   -136.10 eV per cell

Cell: 8.016 8.016 5.630 Å, 90.00 90.00 90.00°
Fractional coordinates of all 20 atoms:
1 F 0.249 0.249 0.000
2 F 0.751 0.249 0.000
3 F 0.249 0.751 0.000
4 F 0.751 0.751 0.000
5 F 0.251 0.251 0.500
6 F 0.749 0.251 0.500
7 F 0.251 0.749 0.500
8 F 0.749 0.749 0.500
9 Nd 0.234 0.500 0.249
10 Nd 0.766 0.500 0.249
11 Nd 0.266 0.000 0.251
12 Nd 0.734 0.000 0.251
13 Nd 0.000 0.266 0.749
14 Nd 0.000 0.734 0.749
15 Nd 0.500 0.234 0.751
16 Nd 0.500 0.766 0.751
17 O 0.500 0.000 0.001
18 O 0.000 0.500 0.499
19 O 0.500 0.000 0.501
20 O 0.000 0.500 0.999

---

Which formula does entry 3 have?
Nd2OF2